No. 1
A relaxed structure of LiIn2Bi2. Source: the Alexandria database, functional PBE-GGA.

Magnetic moment: 0.000 μB per cell
Formation energy: -0.2 eV per formula unit
Crystal system: tetragonal
Polymorph energy (0 for the lowest one): 0.42 eV/f.u.

a b c (Å): 8.3978 8.3978 4.2170
angles (deg): 90.00 90.00 90.00
Positions (direct):
In (0.6441, 0.8559, 0.5000)
Bi (0.1544, 0.3456, 0.0000)
Li (0.0000, 0.0000, 0.0000)
Bi (0.6544, 0.1544, 0.0000)
Bi (0.3456, 0.8456, 0.0000)
In (0.1441, 0.6441, 0.5000)
In (0.8559, 0.3559, 0.5000)
Bi (0.8456, 0.6544, 0.0000)
In (0.3559, 0.1441, 0.5000)
Li (0.5000, 0.5000, 0.0000)

=====

No. 2
A relaxed structure of TbPm3Sn2. Source: the Alexandria database, functional PBE-GGA.

Magnetic moment: 0.194 μB per cell
Formation energy: -3.1 eV per formula unit
Crystal system: monoclinic
Polymorph energy (0 for the lowest one): 0.42 eV/f.u.

a b c (Å): 4.6080 10.3866 9.8351
angles (deg): 124.59 90.00 102.82
Positions (direct):
Tb (0.1141, 0.2282, 0.1067)
Pm (0.6910, 0.3819, 0.4916)
Pm (0.6502, 0.3004, 0.8200)
Sn (0.2469, 0.4938, 0.7719)
Pm (0.3090, 0.6181, 0.5084)
Sn (0.7531, 0.5062, 0.2281)
Tb (0.8859, 0.7718, 0.8933)
Sn (0.4960, 0.9920, 0.8466)
Pm (0.0520, 0.1040, 0.4152)
Pm (0.3498, 0.6996, 0.1800)
Sn (0.5040, 0.0080, 0.1534)
Pm (0.9480, 0.8960, 0.5848)

=====

No. 3
A relaxed structure of Sr10Sm6Al6Si30N54O7. Source: the Alexandria database, functional PBE-GGA.

Magnetic moment: 0.000 μB per cell
Formation energy from raw total energies: -1.46 eV per atom
Crystal system: orthorhombic

a b c (Å): 18.8148 17.4927 9.8839
angles (deg): 81.74 66.94 31.32
Positions (direct):
N (0.7797, 0.1028, 0.7071)
Sr (0.4906, 0.5094, 0.5094)
N (0.4426, 0.4159, 0.8870)
N (0.6966, 0.0229, 0.1173)
Si (0.3476, 0.9894, 0.9722)
Al (0.0883, 0.0912, 0.5588)
N (0.5037, 0.7873, 0.8577)
N (0.2127, 0.4963, 0.1486)
O (0.9733, 0.4555, 0.2070)
O (0.8206, 0.4699, 0.1794)
N (0.5158, 0.1356, 0.9933)
N (0.6061, 0.2593, 0.0610)
Sm (0.4422, 0.0578, 0.0578)
N (0.3668, 0.0748, 0.3160)
Sr (0.6849, 0.0123, 0.6442)
Si (0.5694, 0.5259, 0.1222)
N (0.4334, 0.4065, 0.3975)
N (0.7817, 0.2183, 0.4483)
N (0.2431, 0.8956, 0.9302)
Sr (0.3220, 0.9728, 0.6780)
Si (0.5823, 0.2246, 0.4177)
Si (0.3327, 0.0092, 0.3201)
Si (0.3380, 0.3201, 0.0092)
N (0.1426, 0.8574, 0.3689)
Si (0.8778, 0.2175, 0.4306)
Si (0.7499, 0.0711, 0.0734)
Sr (0.8615, 0.1385, 0.1385)
Si (0.9266, 0.8944, 0.2501)
N (0.0736, 0.0610, 0.2593)
Sr (0.9877, 0.3151, 0.3414)
Si (0.0278, 0.3092, 0.6524)
O (0.5445, 0.0267, 0.6358)
N (0.4695, 0.8246, 0.3394)
N (0.1632, 0.1173, 0.0229)
O (0.3642, 0.2070, 0.4555)
Si (0.6201, 0.2828, 0.8735)
Sm (0.2906, 0.3168, 0.7094)
N (0.8514, 0.8577, 0.7873)
N (0.1754, 0.5305, 0.6334)
N (0.0698, 0.0689, 0.7569)
N (0.0367, 0.5130, 0.9633)
O (0.2154, 0.7846, 0.7846)
N (0.9303, 0.6436, 0.2844)
N (0.5517, 0.4483, 0.2183)
N (0.8827, 0.8368, 0.3034)
N (0.9771, 0.3034, 0.8368)
O (0.7930, 0.6358, 0.0267)
Si (0.1056, 0.0734, 0.0711)
Si (0.2425, 0.5666, 0.5793)
N (0.1423, 0.1486, 0.4963)
Si (0.7172, 0.3799, 0.7763)
N (0.2545, 0.8870, 0.4159)
N (0.7407, 0.3939, 0.9264)
Si (0.5165, 0.9551, 0.6655)
Si (0.9908, 0.6673, 0.6620)
N (0.8644, 0.4842, 0.6447)
N (0.8972, 0.2203, 0.5896)
N (0.4104, 0.7071, 0.1028)
Si (0.4741, 0.4306, 0.2175)
N (0.9311, 0.9302, 0.8956)
N (0.0067, 0.6447, 0.4842)
Sr (0.6586, 0.6442, 0.0123)
N (0.2929, 0.5896, 0.2203)
Si (0.6908, 0.9722, 0.9894)
N (0.2750, 0.5665, 0.7250)
N (0.9390, 0.9264, 0.3939)
Si (0.3345, 0.1371, 0.4835)
Sm (0.6832, 0.7094, 0.3168)
Si (0.7825, 0.1222, 0.5259)
Al (0.2394, 0.8683, 0.7606)
Sr (0.0272, 0.6780, 0.9728)
Sr (0.3558, 0.3414, 0.3151)
Si (0.6799, 0.6620, 0.6673)
Si (0.4334, 0.7575, 0.3884)
N (0.5841, 0.5574, 0.7455)
N (0.3564, 0.0697, 0.8583)
Si (0.0449, 0.4835, 0.1371)
Si (0.1265, 0.7763, 0.3799)
Sr (0.0162, 0.9838, 0.6623)
Al (0.2617, 0.5588, 0.0912)
N (0.7626, 0.3975, 0.4065)
Sm (0.6651, 0.9487, 0.3349)
N (0.4335, 0.7250, 0.5665)
Sr (0.3377, 0.6623, 0.9838)
Si (0.6116, 0.5793, 0.5666)
N (0.3666, 0.3394, 0.8246)
Sm (0.9422, 0.5578, 0.5578)
N (0.6025, 0.2374, 0.5666)
Si (0.4207, 0.3884, 0.7575)
Si (0.8629, 0.6655, 0.9551)
N (0.1130, 0.7455, 0.5574)
N (0.5935, 0.5666, 0.2374)
Si (0.7754, 0.4177, 0.2246)
N (0.6606, 0.6334, 0.5305)
N (0.3553, 0.9933, 0.1356)
Al (0.9088, 0.9117, 0.7383)
N (0.1044, 0.7569, 0.0689)
N (0.9167, 0.2362, 0.0833)
Sm (0.0513, 0.3349, 0.9487)
Al (0.4412, 0.7383, 0.9117)
N (0.9252, 0.6332, 0.7577)
N (0.7638, 0.0833, 0.2362)
O (0.5301, 0.1794, 0.4699)
Al (0.1317, 0.7606, 0.8683)
Si (0.2237, 0.8735, 0.2828)
N (0.6311, 0.3689, 0.8574)
N (0.6840, 0.7577, 0.6332)
Si (0.0106, 0.6524, 0.3092)
N (0.2423, 0.3160, 0.0748)
N (0.7156, 0.8583, 0.0697)
N (0.1417, 0.2844, 0.6436)
N (0.4870, 0.9633, 0.5130)
Si (0.9289, 0.2501, 0.8944)

=====

No. 4
A relaxed structure of Sr2PaGa3Pt4. Source: the Alexandria database, functional PBE-GGA.

Magnetic moment: 0.000 μB per cell
Formation energy: -8.1 eV per formula unit
Crystal system: tetragonal

a b c (Å): 4.4846 4.4846 10.9250
angles (deg): 90.00 90.00 90.00
Positions (direct):
Pa (0.5000, 0.5000, 0.5000)
Ga (0.0000, 0.5000, 0.1169)
Pt (0.5000, 0.0000, 0.6481)
Pt (0.5000, 0.5000, 0.0000)
Sr (0.5000, 0.0000, 0.2247)
Ga (0.5000, 0.0000, 0.8831)
Ga (0.0000, 0.0000, 0.5000)
Sr (0.0000, 0.5000, 0.7753)
Pt (0.0000, 0.5000, 0.3519)
Pt (0.0000, 0.0000, 0.0000)

=====

No. 5
A relaxed structure of NaCa2S. Source: the Alexandria database, functional PBE-GGA.

Magnetic moment: 0.367 μB per cell
Formation energy from raw total energies: -0.95 eV per atom
Crystal system: trigonal

a b c (Å): 3.9305 3.9305 10.0121
angles (deg): 78.68 78.68 60.00
Positions (direct):
Ca (0.2759, 0.2759, 0.1722)
Na (0.4999, 0.4999, 0.5002)
S (0.6666, 0.6666, 0.0003)
Ca (0.0576, 0.0576, 0.8273)

=====

No. 6
A relaxed structure of SrReMo2. Source: the Alexandria database, functional PBE-GGA.

Magnetic moment: 0.000 μB per cell
Formation energy: 2.7 eV per formula unit
Crystal system: tetragonal
Polymorph energy (0 for the lowest one): 0.00 eV/f.u.

a b c (Å): 3.1769 3.1769 7.9667
angles (deg): 90.00 90.00 90.00
Positions (direct):
Mo (0.0000, 0.0000, 0.0682)
Mo (0.5000, 0.5000, 0.2580)
Sr (0.5000, 0.5000, 0.7406)
Re (0.0000, 0.0000, 0.4333)

=====

Going through the records in order, we get D(E_F) values of 3.120, 13.717, 0.000, 5.810, 2.876, 5.491 states/eV/cell.
Going through the records in order, we get E_tot values of -3.0651, -4.9938, -7.7793, -5.4247, -3.3099, -8.2729 eV/atom.